Entry from Alexandria via LeMat-Bulk: crystalline Ti2InIr at its relaxed geometry (PBE-GGA).

Geometry as CIF:
```
data_Ti2InIr
_cell_length_a 2.9381
_cell_length_b 2.9381
_cell_length_c 7.9824
_cell_angle_alpha 90.00
_cell_angle_beta 90.00
_cell_angle_gamma 90.00
_symmetry_space_group_name_H-M 'P 4/m m m'
_symmetry_Int_Tables_number 123
_symmetry_space_group_name_Hall '-P 4 2'
loop_
_atom_site_label
_atom_site_fract_x
_atom_site_fract_y
_atom_site_fract_z
Ti1 0.0000 0.0000 0.2151
In1 0.5000 0.5000 0.5000
Ir1 0.5000 0.5000 0.0000
```

Calculated values
As for the total moment: 0.55 μB per cell. The calculation puts the energy at -7.35 eV per atom. The energy relative to the elements comes out at -0.505 eV/atom.

Entry from Alexandria via LeMat-Bulk: crystalline NaSi2BiO6 at its relaxed geometry (PBE-GGA).

Geometry as CIF:
```
data_NaSi2BiO6
_cell_length_a 10.3950
_cell_length_b 9.7340
_cell_length_c 5.3405
_cell_angle_alpha 90.00
_cell_angle_beta 103.63
_cell_angle_gamma 90.00
_symmetry_space_group_name_H-M 'C 1 2/c 1'
_symmetry_Int_Tables_number 15
loop_
_symmetry_equiv_pos_as_xyz
'x,y,z'
'-x,-y,-z'
'-x,y,-z+1/2'
'x,-y,z+1/2'
'x+1/2,y+1/2,z'
'-x+1/2,-y+1/2,-z'
'-x+1/2,y+1/2,-z+1/2'
'x+1/2,-y+1/2,z+1/2'
loop_
_atom_site_label
_atom_site_fract_x
_atom_site_fract_y
_atom_site_fract_z
Na1 0.0000 0.0902 0.2500
Si1 0.2201 0.4080 0.2543
Bi1 0.0000 0.2855 0.7500
O1 0.1189 0.1123 0.6709
O2 0.1337 0.2717 0.1648
O3 0.1777 0.4777 0.5109
```

Calculated values
As for the total moment: 0.00 μB per cell. The formation energy (no corrections) comes out at -2.2731 eV per atom. The calculation puts the energy at -6.85 eV per atom.